Record 1
The following is a DFT calculation (PBE) of a relaxed CsTl2CdCo crystal.

The structure belongs to space group P4/mmm (No. 123); the cell edges are 5.210, 5.210 and 5.366 Å and the angles 90.00°, 90.00° and 90.00°. The distinct sites, in fractional coordinates, are Cs at (0.000, 0.000, 0.000), Tl at (0.000, 0.500, 0.500), Cd at (0.500, 0.500, 0.000) and Co at (0.500, 0.500, 0.500).

The value obtained for the formation energy from the elements is 0.095 eV per atom. For the total DFT energy (no corrections), the calculation gives -13.13 eV/f.u.

=====

Record 2
The following is a DFT calculation (PBE) of a relaxed RbB3P crystal.

The structure belongs to space group Cm (No. 8); the cell edges are 11.641, 4.519 and 7.213 Å and the angles 90.00°, 100.61° and 90.00°. The distinct sites, in fractional coordinates, are Rb at (0.000, 0.000, 0.000), Rb at (0.213, 0.000, 0.665), B at (0.039, 0.500, 0.358), B at (0.282, 0.179, 0.293), B at (0.397, 0.000, 0.254), B at (0.441, 0.304, 0.402), P at (0.182, 0.500, 0.252) and P at (0.499, 0.000, 0.612).

The value obtained for the formation energy from the elements is 0.010 eV per atom. For the total DFT energy (no corrections), the calculation gives -26.36 eV/f.u.

=====

Record 3
The following is a DFT calculation (PBE) of a relaxed Sr3As4P crystal.

The structure belongs to space group Pnma (No. 62); the cell edges are 8.235, 11.200 and 9.671 Å and the angles 90.00°, 90.00° and 90.00°. The distinct sites, in fractional coordinates, are Sr at (0.035, 0.052, 0.191), Sr at (0.131, 0.750, 0.419), As at (0.024, 0.750, 0.096), As at (0.138, 0.041, 0.527), As at (0.203, 0.750, 0.726) and P at (0.246, 0.250, 0.458).

The value obtained for the formation energy from the elements is -0.756 eV per atom. For the total DFT energy (no corrections), the calculation gives -35.10 eV/f.u.

=====

Record 4
The following is a DFT calculation (PBE) of a relaxed BaZnCo2 crystal.

The structure belongs to space group P2/m (No. 10); the cell edges are 4.144, 4.279 and 5.310 Å and the angles 90.00°, 96.27° and 90.00°. The distinct sites, in fractional coordinates, are Ba at (0.000, 0.000, 0.000), Zn at (0.500, 0.000, 0.500) and Co at (0.257, 0.500, 0.579).

The value obtained for the formation energy from the elements is 0.399 eV per atom. For the total DFT energy (no corrections), the calculation gives -15.81 eV/f.u.

=====

Record 5
The following is a DFT calculation (PBE) of a relaxed InBr3F crystal.

The structure belongs to space group Pm-3m (No. 221); the cell edges are 5.405, 5.405 and 5.405 Å and the angles 90.00°, 90.00° and 90.00°. The distinct sites, in fractional coordinates, are In at (0.000, 0.000, 0.000), Br at (0.000, 0.000, 0.500) and F at (0.500, 0.500, 0.500).

For the total DFT energy (no corrections), the calculation gives -11.15 eV/f.u. For the formation energy from raw total energies, the calculation gives -304 meV per atom.

=====

Record 6
The following is a DFT calculation (PBE) of a relaxed CrCl2 crystal.

The structure belongs to space group P6_3/mmc (No. 194); the cell edges are 6.4039, 6.4039 and 12.9220 Å and the angles 90.00°, 90.00° and 120.00°. The distinct sites, in fractional coordinates, are Cr at (0.3333, 0.6667, 0.1421), Cl at (0.0000, 0.0000, 0.0000) and Cl at (0.1663, 0.3325, 0.2500).

For the total DFT energy (no corrections), the calculation gives -13.82 eV/f.u. For the formation energy from raw total energies, the calculation gives -169 meV per atom.

=====

Record 7
The following is a DFT calculation (PBE) of a relaxed Tl2CuHgH crystal.

The structure belongs to space group P4/mmm (No. 123); the cell edges are 5.747, 5.747 and 3.314 Å and the angles 90.00°, 90.00° and 90.00°. The distinct sites, in fractional coordinates, are Tl at (0.000, 0.500, 0.000), Cu at (0.000, 0.000, 0.000), Hg at (0.500, 0.500, 0.500) and H at (0.000, 0.000, 0.500).

For the total DFT energy (no corrections), the calculation gives -11.50 eV/f.u.

=====

Record 8
The following is a DFT calculation (PBE) of a relaxed BaSi3Ni3 crystal.

The structure belongs to space group R-3 (No. 148, hexagonal axes); the cell edges are 6.1061, 6.1061 and 23.6548 Å and the angles 90.00°, 90.00° and 120.00°. The distinct sites, in fractional coordinates, are Ba at (0.0000, 0.0000, 0.1699), Si at (0.0385, 0.7728, 0.6017) and Ni at (0.0384, 0.7651, 0.6997).

For the total DFT energy (no corrections), the calculation gives -37.50 eV/f.u. For the formation energy from raw total energies, the calculation gives -280 meV per atom.

=====

Record 9
The following is a DFT calculation (PBE) of a relaxed Bi2AsPb crystal.

The structure belongs to space group Fm-3m (No. 225); the cell edges are 7.700, 7.700 and 7.700 Å and the angles 90.00°, 90.00° and 90.00°. The distinct sites, in fractional coordinates, are Bi at (0.250, 0.250, 0.250), As at (0.000, 0.000, 0.000) and Pb at (0.000, 0.000, 0.500).

The value obtained for the formation energy from the elements is 0.226 eV per atom. For the total DFT energy (no corrections), the calculation gives -15.22 eV/f.u.

=====

Record 10
The following is a DFT calculation (PBE) of a relaxed Pr3MgTl3 crystal.

The structure belongs to space group P6_3/m (No. 176); the cell edges are 9.4008, 9.4008 and 5.5825 Å and the angles 90.00°, 90.00° and 120.00°. The distinct sites, in fractional coordinates, are Pr at (0.0950, 0.6463, 0.2500), Mg at (0.3333, 0.6667, 0.7500) and Tl at (0.0528, 0.8084, 0.7500).

The value obtained for the formation energy from the elements is -0.169 eV per atom. For the total DFT energy (no corrections), the calculation gives -24.22 eV/f.u.

=====

Record 11
The following is a DFT calculation (PBE) of a relaxed Pa2FeNi9 crystal.

The structure belongs to space group P4/mmm (No. 123); the cell edges are 3.837, 3.837 and 10.911 Å and the angles 90.00°, 90.00° and 90.00°. The distinct sites, in fractional coordinates, are Pa at (0.000, 0.000, 0.184), Fe at (0.000, 0.000, 0.500), Ni at (0.000, 0.500, 0.000), Ni at (0.000, 0.500, 0.349), Ni at (0.500, 0.500, 0.171) and Ni at (0.500, 0.500, 0.500).

The value obtained for the formation energy from the elements is -0.236 eV per atom. For the total DFT energy (no corrections), the calculation gives -82.32 eV/f.u.

=====

Record 12
The following is a DFT calculation (PBE) of a relaxed CaCuAu3 crystal.

The structure belongs to space group Imma (No. 74); the cell edges are 5.492, 8.022 and 9.241 Å and the angles 90.00°, 90.00° and 90.00°. The distinct sites, in fractional coordinates, are Ca at (0.000, 0.250, 0.008), Cu at (0.000, 0.000, 0.500), Au at (0.000, 0.250, 0.334) and Au at (0.250, 0.062, 0.750).

The value obtained for the formation energy from the elements is -0.364 eV per atom. For the total DFT energy (no corrections), the calculation gives -17.75 eV/f.u.

=====

Record 13
The following is a DFT calculation (PBE) of a relaxed BeCdCu2 crystal.

The structure belongs to space group I4/mmm (No. 139); the cell edges are 3.712, 3.712 and 7.730 Å and the angles 90.00°, 90.00° and 90.00°. The distinct sites, in fractional coordinates, are Be at (0.000, 0.000, 0.000), Cd at (0.000, 0.000, 0.500) and Cu at (0.000, 0.500, 0.250).

The value obtained for the formation energy from the elements is 0.176 eV per atom. For the total DFT energy (no corrections), the calculation gives -12.13 eV/f.u.

=====

Record 14
The following is a DFT calculation (PBE) of a relaxed KP4Rh crystal.

The structure belongs to space group F-43m (No. 216); the cell edges are 7.726, 7.726 and 7.726 Å and the angles 90.00°, 90.00° and 90.00°. The distinct sites, in fractional coordinates, are K at (0.000, 0.000, 0.000), P at (0.105, 0.105, 0.605) and Rh at (0.250, 0.250, 0.250).

The value obtained for the formation energy from the elements is 0.452 eV per atom. For the total DFT energy (no corrections), the calculation gives -27.37 eV/f.u.

=====

Record 15
The following is a DFT calculation (PBE) of a relaxed K8Rb6Cd crystal.

The structure belongs to space group R-3 (No. 148, hexagonal axes); the cell edges are 12.8194, 12.8194 and 24.1364 Å and the angles 90.00°, 90.00° and 120.00°. The distinct sites, in fractional coordinates, are K at (0.0000, 0.0000, 0.2415), K at (0.0497, 0.8055, 0.9118), Rb at (0.0320, 0.7951, 0.4120) and Cd at (0.0000, 0.0000, 0.0000).

The value obtained for the formation energy from the elements is 0.014 eV per atom. For the total DFT energy (no corrections), the calculation gives -15.29 eV/f.u.

=====

Record 16
The following is a DFT calculation (PBE) of a relaxed YMg3 crystal.

The structure belongs to space group R-3m (No. 166, hexagonal axes); the cell edges are 3.3153, 3.3153 and 32.5522 Å and the angles 90.00°, 90.00° and 120.00°. The distinct sites, in fractional coordinates, are Y at (0.0000, 0.0000, 0.0000), Mg at (0.0000, 0.0000, 0.2471) and Mg at (0.0000, 0.0000, 0.5000).

The value obtained for the formation energy from the elements is 0.050 eV per atom. For the total DFT energy (no corrections), the calculation gives -11.05 eV/f.u.

=====

Record 17
The following is a DFT calculation (PBE) of a relaxed Ho2Sc6Cd crystal.

The structure belongs to space group Immm (No. 71); the cell edges are 3.348, 9.636 and 14.475 Å and the angles 90.00°, 90.00° and 90.00°. The distinct sites, in fractional coordinates, are Ho at (0.000, 0.000, 0.138), Sc at (0.000, 0.271, 0.500), Sc at (0.000, 0.339, 0.183) and Cd at (0.000, 0.500, 0.000).

The value obtained for the formation energy from the elements is 0.042 eV per atom. For the total DFT energy (no corrections), the calculation gives -47.68 eV/f.u.

=====

Record 18
The following is a DFT calculation (PBE) of a relaxed La2Co2B crystal.

The structure belongs to space group P4/mbm (No. 127); the cell edges are 5.966, 5.966 and 4.704 Å and the angles 90.00°, 90.00° and 90.00°. The distinct sites, in fractional coordinates, are La at (0.177, 0.323, 0.000), Co at (0.161, 0.661, 0.500) and B at (0.000, 0.000, 0.500).

The value obtained for the formation energy from the elements is 0.233 eV per atom. For the total DFT energy (no corrections), the calculation gives -29.58 eV/f.u.

=====

Record 19
The following is a DFT calculation (PBE) of a relaxed ThCd11Cu crystal.

The structure belongs to space group C2/m (No. 12); the cell edges are 5.883, 14.001 and 7.532 Å and the angles 90.00°, 112.30° and 90.00°. The distinct sites, in fractional coordinates, are Th at (0.000, 0.000, 0.000), Cd at (0.000, 0.000, 0.500), Cd at (0.097, 0.396, 0.219), Cd at (0.191, 0.171, 0.357), Cd at (0.250, 0.250, 0.000) and Cu at (0.000, 0.500, 0.500).

The value obtained for the formation energy from the elements is -0.056 eV per atom. For the total DFT energy (no corrections), the calculation gives -22.31 eV/f.u.

=====

Record 20
The following is a DFT calculation (PBE) of a relaxed CsCa2Si crystal.

The structure belongs to space group I-42d (No. 122); the cell edges are 8.984, 8.984 and 12.873 Å and the angles 90.00°, 90.00° and 90.00°. The distinct sites, in fractional coordinates, are Cs at (0.000, 0.000, 0.000), Ca at (0.004, 0.250, 0.625) and Si at (0.000, 0.000, 0.500).

For the total DFT energy (no corrections), the calculation gives -9.61 eV/f.u. For the formation energy from raw total energies, the calculation gives 168 meV per atom.